This record from Alexandria describes a geometry-optimized AlReBi2N structure. The functional is PBE-GGA.

Results
SG: P4/mmm (123)
Total moment, μB/f.u.: 0.001
ΔE_f (raw), eV/atom: 2.30

Lattice parameters (Å, degrees): 5.3042 4.5431 5.3042 90.00 90.00 90.00
Last column: nearest neighbours and their distance in Å.
Fractional positions:
N: 0.5000 0.5000 0.5000  8 Bi 3.49, 4 Re 3.75
Al: 0.0000 0.0000 0.0000  2 Re 2.27
Bi: 0.0000 0.0000 0.5000  2 Al 2.65
Bi: 0.5000 0.0000 0.0000  2 Al 2.65
Re: 0.0000 0.5000 0.0000  2 Al 2.27